Record 1
Material: PmThSnGe
Method: DFT, GGA-PBE
State: relaxed

- Calculated formation energy: -178 kJ/mol of formula units
- Symmetry: F-43m, No. 216

Cell lengths 5.3519, 5.3519, 5.3519 Å; angles 60.00, 60.00, 60.00 degrees
Atoms (fractional coordinates):
Pm 0.0000 0.0000 0.0000
Th 0.5000 0.5000 0.5000
Sn 0.2500 0.2500 0.2500
Ge 0.7500 0.7500 0.7500

Record 2
Material: Pm2ZnSnGe
Method: DFT, GGA-PBE
State: relaxed

- Calculated formation energy: -310 kJ/mol of formula units
- Symmetry: P2_1/m, No. 11

Cell lengths 7.5531, 4.4948, 7.7314 Å; angles 90.00, 90.06, 90.00 degrees
Atoms (fractional coordinates):
Pm 0.0031 0.2500 0.2208
Pm 0.4969 0.2500 0.2200
Pm 0.5031 0.7500 0.7800
Pm 0.9969 0.7500 0.7792
Zn 0.2513 0.7500 0.4065
Zn 0.7487 0.2500 0.5935
Sn 0.2504 0.2500 0.5958
Sn 0.7496 0.7500 0.4042
Ge 0.2497 0.7500 0.0853
Ge 0.7503 0.2500 0.9147

Record 3
Material: SrPmGe2
Method: DFT, GGA-PBE
State: relaxed

- Calculated formation energy: 11 kJ/mol of formula units
- Symmetry: R-3m, No. 166

Cell lengths 8.3569, 8.3569, 8.3569 Å; angles 33.52, 33.52, 33.52 degrees
Atoms (fractional coordinates):
Sr 0.0000 0.0000 0.0000
Pm 0.5000 0.5000 0.5000
Ge 0.1287 0.1287 0.1287
Ge 0.8713 0.8713 0.8713

Record 4
Material: SrPm8Ge6
Method: DFT, GGA-PBE
State: relaxed

- Calculated formation energy: -841 kJ/mol of formula units
- Symmetry: R-3, No. 148

Cell lengths 9.1524, 9.1524, 9.1524 Å; angles 53.23, 53.23, 53.23 degrees
Atoms (fractional coordinates):
Sr 0.0000 0.0000 0.0000
Pm 0.1173 0.4371 0.7973
Pm 0.2027 0.8827 0.5629
Pm 0.3334 0.3334 0.3334
Pm 0.4371 0.7973 0.1173
Pm 0.5629 0.2027 0.8827
Pm 0.6666 0.6666 0.6666
Pm 0.7973 0.1173 0.4371
Pm 0.8827 0.5629 0.2027
Ge 0.0749 0.7234 0.4204
Ge 0.2766 0.5796 0.9251
Ge 0.4204 0.0749 0.7234
Ge 0.5796 0.9251 0.2766
Ge 0.7234 0.4204 0.0749
Ge 0.9251 0.2766 0.5796

Record 5
Material: SrPm6Ge4
Method: DFT, GGA-PBE
State: relaxed

- Calculated formation energy: -592 kJ/mol of formula units
- Symmetry: P-6m2, No. 187

Cell lengths 9.3457, 9.3457, 4.2124 Å; angles 90.00, 90.00, 120.00 degrees
Atoms (fractional coordinates):
Sr 0.0000 0.0000 0.0000
Pm 0.1962 0.3925 0.5000
Pm 0.1962 0.8038 0.5000
Pm 0.5411 0.0822 0.0000
Pm 0.5411 0.4589 0.0000
Pm 0.6075 0.8038 0.5000
Pm 0.9178 0.4589 0.0000
Ge 0.3333 0.6667 0.0000
Ge 0.3424 0.1712 0.5000
Ge 0.8288 0.1712 0.5000
Ge 0.8288 0.6576 0.5000

Record 6
Material: SrPmGe2
Method: DFT, GGA-PBE
State: relaxed

- Calculated formation energy: -188 kJ/mol of formula units
- Symmetry: P4/mmm, No. 123

Cell lengths 4.9996, 4.9996, 4.1502 Å; angles 90.00, 90.00, 90.00 degrees
Atoms (fractional coordinates):
Sr 0.0000 0.0000 0.0000
Pm 0.5000 0.5000 0.0000
Ge 0.0000 0.5000 0.5000
Ge 0.5000 0.0000 0.5000

Record 7
Material: SrPm2Ge6
Method: DFT, GGA-PBE
State: relaxed

- Offset from the most stable computed form: 79 meV/atom
- Calculated formation energy: -384 kJ/mol of formula units
- Symmetry: Immm, No. 71

Cell lengths 8.0779, 8.0779, 8.0779 Å; angles 150.19, 115.48, 72.66 degrees
Atoms (fractional coordinates):
Sr 0.0000 0.0000 0.0000
Pm 0.3624 0.8624 0.5000
Pm 0.6376 0.1376 0.5000
Ge 0.0406 0.3117 0.7289
Ge 0.3171 0.5000 0.8171
Ge 0.4172 0.6883 0.7289
Ge 0.5828 0.3117 0.2711
Ge 0.6829 0.5000 0.1829
Ge 0.9594 0.6883 0.2711

Record 8
Material: SrPm2Ge6
Method: DFT, GGA-PBE
State: relaxed

- Offset from the most stable computed form: 0 meV/atom
- Calculated formation energy: -453 kJ/mol of formula units
- Symmetry: P6/mmm, No. 191

Cell lengths 7.7296, 7.7296, 4.1435 Å; angles 90.00, 90.00, 120.00 degrees
Atoms (fractional coordinates):
Sr 0.0000 0.0000 0.0000
Pm 0.3333 0.6667 0.0000
Pm 0.6667 0.3333 0.0000
Ge 0.0000 0.3376 0.5000
Ge 0.0000 0.6624 0.5000
Ge 0.3376 0.0000 0.5000
Ge 0.3376 0.3376 0.5000
Ge 0.6624 0.0000 0.5000
Ge 0.6624 0.6624 0.5000